Record 1
16
Lattice="-4.0163 -3.2700 -0.1261 5.1950 -2.4361 4.1299 -4.9856 5.7509 9.6636" Properties=species:S:1:pos:R:3 comment="PBE Np2PdS5, relaxed" total_energy_ev_per_atom=-7.384 crystal_system=orthorhombic vol_a3_per_atom=26.20 raw_formation_energy_ev_per_atom=-0.92 pbc="T T T"
S -1.5950 1.8038 4.0267
S -5.5907 2.3581 10.4961
S -1.4909 -2.4503 4.6036
S 1.7838 -2.3132 3.1713
S -3.6547 0.1249 6.7436
S -3.4909 -0.2836 12.1199
S -2.2118 -1.7590 9.6407
S -2.3160 2.4951 9.0638
S -0.1522 -0.0801 6.9238
S -0.3160 0.3284 1.5475
Pd -4.4740 1.0515 8.8096
Pd 0.6671 -1.0067 4.8578
Np -1.8909 2.0712 6.5176
Np 0.0058 -4.2431 3.4248
Np -3.8127 4.2880 10.2426
Np -1.9160 -2.0263 7.1498

---

Record 2
4
Lattice="-2.0500 -2.5915 0.4360 0.7791 -1.1275 -3.0382 6.7907 -4.7803 3.5154" Properties=species:S:1:pos:R:3 comment="PBE GdPaHg2, relaxed" total_energy_ev_per_atom=-6.208 crystal_system=tetragonal vol_a3_per_atom=25.04 ef_ev_per_atom=-0.163 pbc="T T T"
Gd -0.6355 -1.8595 -1.3011
Pa 2.7599 -4.2496 0.4566
Hg 5.1056 -3.5941 2.6430
Hg 1.6851 -1.1862 0.8723

---

Record 3
8
Lattice="6.6586 0.0000 0.0000 0.0000 6.6586 0.0000 3.3293 3.3293 6.4354" Properties=species:S:1:pos:R:3 comment="PBE YHgSe2, relaxed" total_energy_ev_per_atom=-4.326 crystal_system=tetragonal vol_a3_per_atom=35.67 raw_formation_energy_ev_per_atom=-0.89 pbc="T T T"
Hg 6.6586 3.3293 3.2177
Hg 0.0000 0.0000 0.0000
Se 8.3233 8.1443 4.8266
Se 4.9940 5.1729 4.8266
Se 1.8436 4.9940 1.6089
Se 4.8150 1.6647 1.6089
Y 3.3293 3.3293 0.0000
Y 3.3293 6.6586 3.2177

---

Record 4
6
Lattice="4.7202 0.0000 0.0000 0.0000 4.7202 0.0000 0.0000 0.0000 9.1024" Properties=species:S:1:pos:R:3 comment="PBE BaLaAs, relaxed" total_energy_ev_per_atom=-4.705 crystal_system=tetragonal vol_a3_per_atom=33.80 ef_ev_per_atom=-0.872 pbc="T T T"
As 0.0000 2.3601 2.2820
As 2.3601 0.0000 6.8203
Ba 2.3601 0.0000 1.2875
Ba 0.0000 2.3601 7.8149
La 2.3601 2.3601 4.5512
La 0.0000 0.0000 4.5512

---

Record 5
2
Lattice="2.4886 0.0000 0.0000 -1.2443 2.1552 0.0000 0.0000 0.0000 4.4466" Properties=species:S:1:pos:R:3 comment="PBE Cr, relaxed" total_energy_ev_per_atom=-9.237 crystal_system=hexagonal vol_a3_per_atom=11.92 ef_ev_per_atom=0.387 pbc="T T T"
Cr 1.2443 0.7184 3.3349
Cr 0.0000 1.4368 1.1116

---

Record 6
4
Lattice="-4.4796 -0.9945 1.5673 -0.6385 -2.8793 3.8489 -1.5729 1.8666 4.1898" Properties=species:S:1:pos:R:3 comment="PBE CePaMnOs, relaxed" total_energy_ev_per_atom=-8.915 crystal_system=cubic vol_a3_per_atom=20.15 ef_ev_per_atom=0.043 pbc="T T T"
Os -3.3455 -1.0036 4.8030
Pa -1.6727 -0.5018 2.4015
Mn 0.0000 0.0000 0.0000
Ce -5.0182 -1.5055 7.2045